Computed, not measured: a geometry-optimized Mn3Sb structure at the PBE-GGA level of DFT.

Output
Total magnetization = 9.3 μB per formula unit
Symmetry = R-3m
Uncorrected formation energy = 0.428 eV per atom

Lattice parameters (Å, degrees): 5.094 5.094 5.094 116.44 116.44 116.44
Last column: magnetic moment on the atom in μB.
Element x y z (fractional)
1 Mn 0.500 0.000 0.500  3.04
2 Mn 0.000 0.500 0.500  3.04
3 Mn 0.000 0.000 0.000  3.04
4 Sb 0.500 0.500 0.000  -0.08


Computed, not measured: a geometry-optimized Mn4Sb structure at the PBE-GGA level of DFT.

Output
Distance to the lowest polymorph of the same formula = 0.8539 eV/atom
Total magnetization = 15.1 μB per formula unit
Symmetry = Im-3m
Uncorrected formation energy = 1.046 eV per atom

Lattice parameters (Å, degrees): 5.211 5.211 5.211 109.47 109.47 109.47
Last column: magnetic moment on the atom in μB.
Element x y z (fractional)
1 Sb 0.000 0.000 0.000  -0.12
2 Mn 0.000 0.000 0.500  3.66
3 Mn 0.500 0.000 0.000  3.66
4 Mn 0.500 0.500 0.500  3.66
5 Mn 0.000 0.500 0.000  3.66


Computed, not measured: a geometry-optimized MnSb3 structure at the PBE-GGA level of DFT.

Output
Distance to the lowest polymorph of the same formula = 0.3311 eV/atom
Total magnetization = 3.6 μB per formula unit
Symmetry = Pm-3n
Uncorrected formation energy = 0.431 eV per atom

Lattice parameters (Å, degrees): 5.824 5.824 5.824 90.00 90.00 90.00
Last column: magnetic moment on the atom in μB.
Element x y z (fractional)
1 Mn 0.500 0.500 0.500  3.87
2 Mn 0.000 0.000 0.000  3.87
3 Sb 0.000 0.750 0.500  -0.07
4 Sb 0.500 0.000 0.750  -0.07
5 Sb 0.250 0.500 0.000  -0.07
6 Sb 0.750 0.500 0.000  -0.07
7 Sb 0.000 0.250 0.500  -0.07
8 Sb 0.500 0.000 0.250  -0.07


Computed, not measured: a geometry-optimized MnSb3 structure at the PBE-GGA level of DFT.

Output
Distance to the lowest polymorph of the same formula = 0.3358 eV/atom
Total magnetization = 4.1 μB per formula unit
Symmetry = Fm-3m
Uncorrected formation energy = 0.436 eV per atom

Lattice parameters (Å, degrees): 5.193 5.193 5.193 60.00 60.00 60.00
Last column: magnetic moment on the atom in μB.
Element x y z (fractional)
1 Sb 0.500 0.500 0.500  0.04
2 Sb 0.750 0.750 0.750  -0.07
3 Sb 0.250 0.250 0.250  -0.07
4 Mn 0.000 0.000 0.000  3.98


Computed, not measured: a geometry-optimized MnSb3 structure at the PBE-GGA level of DFT.

Output
Distance to the lowest polymorph of the same formula = 0.1158 eV/atom
Total magnetization = 3.1 μB per formula unit
Symmetry = P2/m
Uncorrected formation energy = 0.216 eV per atom

Lattice parameters (Å, degrees): 3.617 3.199 8.733 67.83 90.00 90.00
Last column: magnetic moment on the atom in μB.
Element x y z (fractional)
1 Mn 0.000 0.000 0.000  3.21
2 Sb 0.500 0.706 0.803  -0.07
3 Sb 0.000 0.500 0.500  0.00
4 Sb 0.500 0.294 0.197  -0.07


Computed, not measured: a geometry-optimized MnSb3 structure at the PBE-GGA level of DFT.

Output
Distance to the lowest polymorph of the same formula = 0.2025 eV/atom
Total magnetization = 2.7 μB per formula unit
Symmetry = P-6m2
Uncorrected formation energy = 0.303 eV per atom

Lattice parameters (Å, degrees): 3.332 3.332 9.991 90.00 90.00 120.00
Last column: magnetic moment on the atom in μB.
Element x y z (fractional)
1 Sb 0.667 0.333 0.196  -0.10
2 Sb 0.667 0.333 0.804  -0.10
3 Sb 0.000 0.000 0.500  0.02
4 Mn 0.000 0.000 0.000  2.88


Computed, not measured: a geometry-optimized MnSb3 structure at the PBE-GGA level of DFT.

Output
Distance to the lowest polymorph of the same formula = 0.0618 eV/atom
Total magnetization = 3.1 μB per formula unit
Symmetry = Imm2
Uncorrected formation energy = 0.162 eV per atom

Lattice parameters (Å, degrees): 3.179 5.339 6.901 112.76 103.32 90.00
Last column: magnetic moment on the atom in μB.
Element x y z (fractional)
1 Sb 0.500 0.447 0.000  -0.04
2 Sb 0.666 0.008 0.333  -0.06
3 Sb 0.334 0.676 0.667  -0.06
4 Mn 0.000 0.036 0.000  3.18


Computed, not measured: a geometry-optimized MnSb2 structure at the PBE-GGA level of DFT.

Output
Total magnetization = 2.8 μB per formula unit
Symmetry = Cmcm
Uncorrected formation energy = 0.101 eV per atom

Lattice parameters (Å, degrees): 7.087 7.087 5.326 90.00 90.00 148.77
Last column: magnetic moment on the atom in μB.
Element x y z (fractional)
1 Sb 0.051 0.949 0.750  0.08
2 Sb 0.332 0.668 0.750  0.11
3 Sb 0.949 0.051 0.250  0.08
4 Sb 0.668 0.332 0.250  0.11
5 Mn 0.691 0.309 0.750  -2.98
6 Mn 0.309 0.691 0.250  -2.98


Computed, not measured: a geometry-optimized Mn4Sb structure at the PBE-GGA level of DFT.

Output
Distance to the lowest polymorph of the same formula = 0.1347 eV/atom
Total magnetization = 1.4 μB per formula unit
Symmetry = I4/mmm
Uncorrected formation energy = 0.327 eV per atom

Lattice parameters (Å, degrees): 5.628 5.628 5.628 140.51 140.51 57.08
Last column: magnetic moment on the atom in μB.
Element x y z (fractional)
1 Mn 0.250 0.750 0.500  1.98
2 Mn 0.386 0.386 0.000  -1.30
3 Mn 0.614 0.614 0.000  -1.30
4 Mn 0.750 0.250 0.500  1.98
5 Sb 0.000 0.000 0.000  -0.01


Computed, not measured: a geometry-optimized MnSb3 structure at the PBE-GGA level of DFT.

Output
Distance to the lowest polymorph of the same formula = 0.2604 eV/atom
Total magnetization = 4.0 μB per formula unit
Symmetry = Cmmm
Uncorrected formation energy = 0.361 eV per atom

Lattice parameters (Å, degrees): 5.123 5.123 3.821 90.00 90.00 100.93
Last column: magnetic moment on the atom in μB.
Element x y z (fractional)
1 Mn 0.000 0.000 0.000  3.99
2 Sb 0.000 0.500 0.500  -0.06
3 Sb 0.500 0.000 0.500  -0.06
4 Sb 0.500 0.500 0.000  -0.01


Computed, not measured: a geometry-optimized Mn3Sb structure at the PBE-GGA level of DFT.

Output
Total magnetization = 4.0 μB per formula unit
Symmetry = R-3m
Uncorrected formation energy = 0.461 eV per atom

Lattice parameters (Å, degrees): 8.101 8.101 8.101 22.51 22.51 22.51
Last column: magnetic moment on the atom in μB.
Element x y z (fractional)
1 Mn 0.500 0.500 0.500  -2.86
2 Mn 0.761 0.761 0.761  3.32
3 Mn 0.239 0.239 0.239  3.32
4 Sb 0.000 0.000 0.000  0.00


Computed, not measured: a geometry-optimized MnSb3 structure at the PBE-GGA level of DFT.

Output
Distance to the lowest polymorph of the same formula = 0.1437 eV/atom
Total magnetization = 3.5 μB per formula unit
Symmetry = Pmm2
Uncorrected formation energy = 0.244 eV per atom

Lattice parameters (Å, degrees): 3.843 3.729 7.158 90.00 90.00 90.00
Last column: magnetic moment on the atom in μB.
Element x y z (fractional)
1 Sb 0.500 0.000 0.515  0.03
2 Sb 0.000 0.500 0.285  -0.07
3 Sb 0.500 0.500 0.871  -0.11
4 Mn 0.000 0.000 0.995  3.52